CrCuO4, relaxed, DFT PBE with a Hubbard U; E_tot = -72.70 eV/cell
1.0
-3.1726 3.1726 2.9610
3.1726 -3.1726 2.9610
3.1726 3.1726 -2.9610
Cr Cu O
2 2 8
direct
0.0000 0.0000 0.0000
0.7500 0.2500 0.5000
0.2509 0.7509 0.5000
0.5009 0.5009 0.0000
0.0434 0.2430 0.8005
0.4425 0.2430 0.1995
0.4992 0.1899 0.6907
0.4992 0.8085 0.3093
0.5585 0.7492 0.8093
0.9399 0.7492 0.1907
0.9930 0.2934 0.3005
0.9930 0.6925 0.6995